Record 1
First-principles (PBE) data for a geometry-optimized Dy2TmPu structure, as listed in the Alexandria database.

The space group is Fm-3m (No. 225) and the conventional cell measures 7.849, 7.849 and 7.849 Å, with angles of 90.00, 90.00 and 90.00 degrees. The asymmetric unit holds Dy at (0.250, 0.250, 0.250), Tm at (0.000, 0.000, 0.000) and Pu at (0.000, 0.000, 0.500).

As for the formation energy: 0.75 eV/f.u. The calculation puts the energy above the most stable polymorph in this dataset at 97.6 meV per atom.


Record 2
First-principles (PBE) data for a geometry-optimized Re2BTeI structure, as listed in the Alexandria database.

The space group is P4/mmm (No. 123) and the conventional cell measures 5.007, 5.007 and 4.214 Å, with angles of 90.00, 90.00 and 90.00 degrees. The asymmetric unit holds Re at (0.000, 0.500, 0.000), B at (0.000, 0.000, 0.500), Te at (0.500, 0.500, 0.500) and I at (0.000, 0.000, 0.000).

Its uncorrected formation energy is 2.692 eV per atom.


What did the first record say?
First-principles (PBE) data for a geometry-optimized Dy2TmPu structure, as listed in the Alexandria database.

The space group is Fm-3m (No. 225) and the conventional cell measures 7.849, 7.849 and 7.849 Å, with angles of 90.00, 90.00 and 90.00 degrees. The asymmetric unit holds Dy at (0.250, 0.250, 0.250), Tm at (0.000, 0.000, 0.000) and Pu at (0.000, 0.000, 0.500).

As for the formation energy: 0.75 eV/f.u. The calculation puts the energy above the most stable polymorph in this dataset at 97.6 meV per atom.


Q: What is the formula in the second record?
A: Re2BTeI